Record 1
Ba2MoAsPd after structural relaxation. Source: Alexandria, functional GGA-PBE.

Computed properties:
- space-group type = No. 123
- formation enthalpy at 0 K (eV per formula unit) = 2.01
- total energy (eV per atom) = -4.5028

a b c (Å): 5.995 5.995 5.048
angles (deg): 90.00 90.00 90.00
Atoms (fractional coordinates):
Ba 0.000 0.500 0.000
Ba 0.500 0.000 0.000
Mo 0.000 0.000 0.500
As 0.500 0.500 0.500
Pd 0.000 0.000 0.000


Record 2
HfTl2 after structural relaxation. Source: Alexandria, functional GGA-PBE.

Computed properties:
- space-group type = No. 10
- formation enthalpy at 0 K (eV per formula unit) = 0.60
- total energy (eV per atom) = -4.6941

a b c (Å): 4.409 4.564 7.439
angles (deg): 90.00 107.13 90.00
Atoms (fractional coordinates):
Hf 0.162 0.000 0.323
Hf 0.838 0.000 0.677
Tl 0.000 0.500 0.000
Tl 0.325 0.500 0.651
Tl 0.500 0.000 0.000
Tl 0.675 0.500 0.349


Record 3
HfMn3Al after structural relaxation. Source: Alexandria, functional GGA-PBE.

Computed properties:
- space-group type = No. 221
- energy above the most stable polymorph in this dataset (meV per atom) = 621
- formation enthalpy at 0 K (eV per formula unit) = 6.83
- total energy (eV per atom) = -6.8756

a b c (Å): 4.710 4.710 4.710
angles (deg): 90.00 90.00 90.00
Atoms (fractional coordinates):
Hf 0.000 0.000 0.000
Mn 0.000 0.000 0.500
Mn 0.000 0.500 0.000
Mn 0.500 0.000 0.000
Al 0.500 0.500 0.500


Record 4
Ca2YLu after structural relaxation. Source: Alexandria, functional GGA-PBE.

Computed properties:
- space-group type = No. 225
- energy above the most stable polymorph in this dataset (meV per atom) = 51
- formation enthalpy at 0 K (eV per formula unit) = 0.82
- total energy (eV per atom) = -3.5423

a b c (Å): 8.227 8.227 8.227
angles (deg): 90.00 90.00 90.00
Atoms (fractional coordinates):
Ca 0.250 0.250 0.250
Ca 0.250 0.250 0.750
Ca 0.250 0.750 0.250
Ca 0.250 0.750 0.750
Ca 0.750 0.250 0.250
Ca 0.750 0.250 0.750
Ca 0.750 0.750 0.250
Ca 0.750 0.750 0.750
Y 0.000 0.000 0.000
Y 0.000 0.500 0.500
Y 0.500 0.000 0.500
Y 0.500 0.500 0.000
Lu 0.000 0.000 0.500
Lu 0.000 0.500 0.000
Lu 0.500 0.000 0.000
Lu 0.500 0.500 0.500


Record 5
Hf6In2H after structural relaxation. Source: Alexandria, functional GGA-PBE.

Computed properties:
- space-group type = No. 14
- energy above the most stable polymorph in this dataset (meV per atom) = 127
- total energy (eV per atom) = -7.6925

a b c (Å): 6.205 5.852 11.738
angles (deg): 90.00 121.53 90.00
Atoms (fractional coordinates):
Hf 0.118 0.031 0.252
Hf 0.118 0.469 0.752
Hf 0.130 0.249 0.013
Hf 0.130 0.251 0.513
Hf 0.369 0.704 0.510
Hf 0.369 0.796 0.010
Hf 0.631 0.204 0.990
Hf 0.631 0.296 0.490
Hf 0.870 0.749 0.487
Hf 0.870 0.751 0.987
Hf 0.882 0.531 0.248
Hf 0.882 0.969 0.748
In 0.360 0.579 0.244
In 0.360 0.921 0.744
In 0.640 0.079 0.256
In 0.640 0.421 0.756
H 0.500 0.000 0.500
H 0.500 0.500 0.000


Record 6
ZnCrGa2 after structural relaxation. Source: Alexandria, functional GGA-PBE.

Computed properties:
- space-group type = No. 123
- formation enthalpy at 0 K (eV per formula unit) = 0.07
- total energy (eV per atom) = -4.2209

a b c (Å): 3.914 3.914 3.818
angles (deg): 90.00 90.00 90.00
Atoms (fractional coordinates):
Zn 0.000 0.000 0.000
Cr 0.500 0.500 0.000
Ga 0.000 0.500 0.500
Ga 0.500 0.000 0.500


Record 7
SrPmY2S4 after structural relaxation. Source: Alexandria, functional GGA-PBE.

Computed properties:
- space-group type = No. 10
- ΔE_f (raw) (eV per atom) = -2.0179
- total energy (eV per atom) = -6.5017

a b c (Å): 6.976 3.995 6.987
angles (deg): 90.00 109.04 90.00
Atoms (fractional coordinates):
Sr 0.000 0.000 0.000
Pm 0.500 0.500 0.000
Y 0.000 0.500 0.500
Y 0.500 0.000 0.500
S 0.248 0.000 0.737
S 0.259 0.500 0.266
S 0.741 0.500 0.734
S 0.752 0.000 0.263


Record 8
TbPr2In2Ag2 after structural relaxation. Source: Alexandria, functional GGA-PBE.

Computed properties:
- space-group type = No. 166
- formation enthalpy at 0 K (eV per formula unit) = -2.13
- total energy (eV per atom) = -3.9287

a b c (Å): 9.584 9.584 9.584
angles (deg): 29.53 29.53 29.53
Atoms (fractional coordinates):
Tb 0.000 0.000 0.000
Pr 0.126 0.126 0.126
Pr 0.874 0.874 0.874
In 0.265 0.265 0.265
In 0.735 0.735 0.735
Ag 0.391 0.391 0.391
Ag 0.609 0.609 0.609